Entry from Alexandria via LeMat-Bulk: crystalline CePmDyTh at its relaxed geometry (PBE).

Cell lengths 3.561, 3.561, 34.496 Å; angles 90.00, 90.00, 120.00 degrees
Fractional positions:
Ce1 0.000 0.000 0.000
Ce2 0.333 0.667 0.667
Ce3 0.667 0.333 0.333
Pm1 0.000 0.000 0.831
Pm2 0.333 0.667 0.498
Pm3 0.667 0.333 0.165
Dy1 0.000 0.000 0.585
Dy2 0.333 0.667 0.251
Dy3 0.667 0.333 0.918
Th1 0.000 0.000 0.413
Th2 0.333 0.667 0.080
Th3 0.667 0.333 0.747

Total energy ... -67.67 eV for the cell shown
Energy above the lowest structure with this stoichiometry ... 0.00 kcal/mol of atoms
ΔE_f ... 0.038 eV/atom
Space-group type ... R3m, No. 160

Entry from Alexandria via LeMat-Bulk: crystalline CePmDyTh at its relaxed geometry (PBE).

Cell lengths 8.022, 8.022, 8.022 Å; angles 90.00, 90.00, 90.00 degrees
Fractional positions:
Ce1 0.000 0.000 0.000
Ce2 0.000 0.500 0.500
Ce3 0.500 0.000 0.500
Ce4 0.500 0.500 0.000
Pm1 0.250 0.250 0.750
Pm2 0.250 0.750 0.250
Pm3 0.750 0.250 0.250
Pm4 0.750 0.750 0.750
Dy1 0.000 0.000 0.500
Dy2 0.000 0.500 0.000
Dy3 0.500 0.000 0.000
Dy4 0.500 0.500 0.500
Th1 0.250 0.250 0.250
Th2 0.250 0.750 0.750
Th3 0.750 0.250 0.750
Th4 0.750 0.750 0.250

Total energy ... -87.18 eV for the cell shown
Energy above the lowest structure with this stoichiometry ... 4.39 kcal/mol of atoms
ΔE_f ... 0.228 eV/atom
Space-group type ... F-43m, No. 216

Entry from Alexandria via LeMat-Bulk: crystalline CePmDyTl at its relaxed geometry (PBE).

Cell lengths 7.718, 7.718, 7.718 Å; angles 90.00, 90.00, 90.00 degrees
Fractional positions:
Ce1 0.000 0.000 0.000
Ce2 0.000 0.500 0.500
Ce3 0.500 0.000 0.500
Ce4 0.500 0.500 0.000
Pm1 0.250 0.250 0.750
Pm2 0.250 0.750 0.250
Pm3 0.750 0.250 0.250
Pm4 0.750 0.750 0.750
Dy1 0.250 0.250 0.250
Dy2 0.250 0.750 0.750
Dy3 0.750 0.250 0.750
Dy4 0.750 0.750 0.250
Tl1 0.000 0.000 0.500
Tl2 0.000 0.500 0.000
Tl3 0.500 0.000 0.000
Tl4 0.500 0.500 0.500

Total energy ... -70.48 eV for the cell shown
ΔE_f ... 0.009 eV/atom
Space-group type ... F-43m, No. 216